Here is a relaxed YCoSb2 crystal from OQMD via LeMat-Bulk. Energies are from PBE.

Unit cell a=7.096 b=7.096 c=7.096 alpha=90.00 beta=90.00 gamma=90.00
Space group F-43m (No. 216)
Unique sites:
Y (0.000, 0.000, 0.000) (multiplicity 4)
Co (0.250, 0.250, 0.250) (multiplicity 4)
Sb (0.000, 0.000, 0.500) (multiplicity 4)
Sb (0.250, 0.250, 0.750) (multiplicity 4)

Results
E = -5.40 eV per atom
ρ = 7.28 g/cm³

***

Here is a relaxed ZnCoSb2 crystal from OQMD via LeMat-Bulk. Energies are from PBE.

Unit cell a=5.854 b=5.854 c=11.979 alpha=90.00 beta=90.00 gamma=90.00
Space group I-42d (No. 122)
Unique sites:
Zn (0.000, 0.000, 0.000) (multiplicity 4)
Co (0.000, 0.000, 0.500) (multiplicity 4)
Sb (0.208, 0.750, 0.625) (multiplicity 8)

Results
E = -3.91 eV per atom
ρ = 5.95 g/cm³

***

Here is a relaxed Zn2CoSb crystal from OQMD via LeMat-Bulk. Energies are from PBE.

Unit cell a=6.324 b=6.324 c=6.324 alpha=90.00 beta=90.00 gamma=90.00
Space group F-43m (No. 216)
Unique sites:
Zn (0.000, 0.000, 0.000) (multiplicity 4)
Zn (0.250, 0.250, 0.250) (multiplicity 4)
Co (0.250, 0.250, 0.750) (multiplicity 4)
Sb (0.000, 0.000, 0.500) (multiplicity 4)

Results
E = -3.15 eV per atom
ρ = 8.18 g/cm³

***

Here is a relaxed ZrZnCoSb crystal from OQMD via LeMat-Bulk. Energies are from PBE.

Unit cell a=6.512 b=6.512 c=6.512 alpha=90.00 beta=90.00 gamma=90.00
Space group F-43m (No. 216)
Unique sites:
Zr (0.000, 0.000, 0.000) (multiplicity 4)
Zn (0.250, 0.250, 0.250) (multiplicity 4)
Co (0.250, 0.250, 0.750) (multiplicity 4)
Sb (0.000, 0.000, 0.500) (multiplicity 4)

Results
relative energy among the computed polymorphs = 0.0 meV per atom
ρ = 8.11 g/cm³

***

Here is a relaxed ZrZnCoSb crystal from OQMD via LeMat-Bulk. Energies are from PBE.

Unit cell a=6.551 b=6.551 c=6.551 alpha=90.00 beta=90.00 gamma=90.00
Space group F-43m (No. 216)
Unique sites:
Zr (0.000, 0.000, 0.000) (multiplicity 4)
Zn (0.250, 0.250, 0.750) (multiplicity 4)
Co (0.000, 0.000, 0.500) (multiplicity 4)
Sb (0.250, 0.250, 0.250) (multiplicity 4)

Results
relative energy among the computed polymorphs = 127.1 meV per atom
ρ = 7.97 g/cm³

***

Here is a relaxed ZrCo4Sb3 crystal from OQMD via LeMat-Bulk. Energies are from PBE.

Unit cell a=5.147 b=3.880 c=6.749 alpha=90.00 beta=90.06 gamma=90.00
Space group Pm (No. 6)
Unique sites:
Zr (0.000, 0.000, 0.000) (multiplicity 1)
Co (0.241, 0.500, 0.195) (multiplicity 1)
Co (0.262, 0.000, 0.675) (multiplicity 1)
Co (0.744, 0.000, 0.673) (multiplicity 1)
Co (0.763, 0.500, 0.198) (multiplicity 1)
Sb (0.004, 0.500, 0.530) (multiplicity 1)
Sb (0.500, 0.000, 0.336) (multiplicity 1)
Sb (0.503, 0.500, 0.869) (multiplicity 1)

Results
E = -6.34 eV per atom
ρ = 8.53 g/cm³

***

Here is a relaxed ZrCo2Sb crystal from OQMD via LeMat-Bulk. Energies are from PBE.

Unit cell a=4.000 b=4.885 c=6.897 alpha=90.00 beta=90.00 gamma=90.00
Space group Pmn2_1 (No. 31)
Unique sites:
Zr (0.000, 0.006, 0.000) (multiplicity 2)
Co (0.000, 0.251, 0.663) (multiplicity 2)
Co (0.000, 0.748, 0.668) (multiplicity 2)
Sb (0.000, 0.504, 0.331) (multiplicity 2)

Results
E = -6.91 eV per atom
ρ = 8.15 g/cm³

***

Here is a relaxed Zr6CoSb2 crystal from OQMD via LeMat-Bulk. Energies are from PBE.

Unit cell a=7.8372 b=7.8372 c=3.6234 alpha=90.00 beta=90.00 gamma=120.00
Space group P-62m (No. 189)
Unique sites:
Zr (0.0000, 0.2405, 0.0000) (multiplicity 3)
Zr (0.0000, 0.5993, 0.5000) (multiplicity 3)
Co (0.0000, 0.0000, 0.5000) (multiplicity 1)
Sb (0.3333, 0.6667, 0.0000) (multiplicity 2)

Results
E = -7.97 eV per atom
ρ = 7.32 g/cm³

***

Here is a relaxed Zr3Co4Sb crystal from OQMD via LeMat-Bulk. Energies are from PBE.

Unit cell a=5.058 b=3.976 c=6.712 alpha=90.00 beta=90.09 gamma=90.00
Space group Pm (No. 6)
Unique sites:
Zr (0.000, 0.000, 0.000) (multiplicity 1)
Zr (0.004, 0.500, 0.498) (multiplicity 1)
Zr (0.501, 0.000, 0.336) (multiplicity 1)
Co (0.254, 0.000, 0.666) (multiplicity 1)
Co (0.259, 0.500, 0.154) (multiplicity 1)
Co (0.747, 0.500, 0.157) (multiplicity 1)
Co (0.754, 0.000, 0.664) (multiplicity 1)
Sb (0.505, 0.500, 0.816) (multiplicity 1)

Results
E = -7.45 eV per atom
ρ = 7.76 g/cm³

***

Here is a relaxed ZrCo2Sb crystal from OQMD via LeMat-Bulk. Energies are from PBE.

Unit cell a=3.837 b=6.945 c=5.092 alpha=90.00 beta=90.00 gamma=90.00
Space group Pmc2_1 (No. 26)
Unique sites:
Zr (0.000, 0.178, 0.000) (multiplicity 2)
Co (0.000, 0.499, 0.744) (multiplicity 2)
Co (0.500, 0.002, 0.746) (multiplicity 2)
Sb (0.500, 0.323, 0.494) (multiplicity 2)

Results
E = -6.89 eV per atom
ρ = 8.10 g/cm³

***

Here is a relaxed Zr5CoSb3 crystal from OQMD via LeMat-Bulk. Energies are from PBE.

Unit cell a=8.6491 b=8.6491 c=5.7969 alpha=90.00 beta=90.00 gamma=120.00
Space group P6_3/mcm (No. 193)
Unique sites:
Zr (0.0000, 0.2513, 0.2500) (multiplicity 6)
Zr (0.3333, 0.6667, 0.0000) (multiplicity 4)
Co (0.0000, 0.0000, 0.0000) (multiplicity 2)
Sb (0.0000, 0.3909, 0.7500) (multiplicity 6)

Results
E = -7.58 eV per atom
ρ = 7.78 g/cm³

***

Here is a relaxed Sc3Co2 crystal from OQMD via LeMat-Bulk. Energies are from PBE.

Unit cell a=6.0895 b=6.0895 c=17.3397 alpha=90.00 beta=90.00 gamma=120.00
Space group R-3c (No. 167, hexagonal axes)
Unique sites:
Sc (0.0000, 0.3635, 0.2500) (multiplicity 18)
Co (0.0000, 0.0000, 0.1775) (multiplicity 12)

Results
formation enthalpy at 0 K = -0.8 eV per formula unit
ρ = 4.52 g/cm³

***

Computed calculated volume, in the same sequence as the records: 22.332, 25.656, 15.806, 17.259, 17.570, 16.844, 16.846, 21.416, 16.874, 16.962, 20.864, 18.561 Å³ per atom.